Material: PdPb2Au
Method: DFT, PBE
State: relaxed

Cell and atoms, written as CIF:
```
data_PdPb2Au
_chemical_formula_sum 'Pd1 Pb2 Au1'
_cell_length_a 3.581
_cell_length_b 3.581
_cell_length_c 7.077
_cell_angle_alpha 90.00
_cell_angle_beta 90.00
_cell_angle_gamma 90.00
_symmetry_space_group_name_H-M 'P 1'
_symmetry_Int_Tables_number 1
loop_
_symmetry_equiv_pos_as_xyz
'x,y,z'
loop_
_atom_site_label
_atom_site_fract_x
_atom_site_fract_y
_atom_site_fract_z
Pd1 0.000 0.000 0.000
Pb1 0.500 0.500 0.239
Pb2 0.500 0.500 0.761
Au1 0.000 0.000 0.500
```

Values from the calculation:
The formation energy comes out at -92.6 meV/atom. The calculation puts the spin magnetization at 0.00 μB/f.u. Its space-group type is No. 123. The calculation puts the energy at -4.0643 eV per atom.